(1)
A relaxed HgPd4Au crystal, computed with PBE-GGA.

```
HgPd4Au
1.0
1.079 0.124 5.438
5.168 -0.811 1.717
1.350 7.664 -0.443
Pd Hg Au
8 2 2
direct
0.747 0.500 0.434
0.747 0.000 0.934
0.253 0.500 0.934
0.253 0.000 0.434
0.747 0.500 0.066
0.747 0.000 0.566
0.253 0.500 0.566
0.253 0.000 0.066
0.000 0.750 0.250
0.000 0.250 0.750
0.500 0.250 0.250
0.500 0.750 0.750
```

Space group: C2/m
Offset from the most stable computed form in kJ/mol of atoms: 0.86
E in eV per atom: -4.05
ΔE_f in kcal/mol of atoms: 0.2
D(E_F) in states/eV/f.u.: 4.49
Magnetization in μB/f.u.: 0.00



(2)
A relaxed La2PmZn2Sn2 crystal, computed with PBE-GGA.

```
La2PmZn2Sn2
1.0
4.670 0.000 0.000
2.335 4.044 0.000
2.335 1.348 9.799
Zn Sn La Pm
2 2 2 1
direct
0.414 0.414 0.758
0.586 0.586 0.242
0.269 0.269 0.193
0.731 0.731 0.807
0.866 0.866 0.401
0.134 0.134 0.599
0.000 0.000 0.000
```

Space group: R-3m
E in eV per atom: -4.01
ΔE_f in kcal/mol of atoms: -9.6
D(E_F) in states/eV/f.u.: 6.30
Magnetization in μB/f.u.: 0.00



(3)
A relaxed Zn2Hg2Pd7 crystal, computed with PBE-GGA.

```
Zn2Hg2Pd7
1.0
6.466 -1.143 0.125
-0.867 4.726 0.819
-0.277 1.137 6.462
Pd Hg Zn
7 2 2
direct
0.072 0.823 0.421
0.406 0.171 0.594
0.594 0.829 0.406
0.579 0.823 0.928
0.928 0.177 0.579
0.421 0.177 0.072
0.000 0.000 0.000
0.201 0.500 0.201
0.799 0.500 0.799
0.275 0.535 0.725
0.725 0.465 0.275
```

Space group: C2/m
E in eV per atom: -3.78
ΔE_f in kcal/mol of atoms: -4.3
D(E_F) in states/eV/f.u.: 3.06
Magnetization in μB/f.u.: 0.00



(4)
A relaxed NiP3 crystal, computed with PBE-GGA.

```
NiP3
1.0
-5.209 1.155 4.188
3.234 -5.646 1.917
4.289 5.250 0.225
P Ni
12 4
direct
0.356 0.213 0.857
0.501 0.857 0.644
0.143 0.356 0.499
0.857 0.356 0.213
0.499 0.143 0.356
0.787 0.143 0.644
0.857 0.644 0.501
0.356 0.499 0.143
0.644 0.501 0.857
0.644 0.787 0.143
0.213 0.857 0.356
0.143 0.644 0.787
0.000 0.000 0.500
0.500 0.000 0.000
0.000 0.500 0.000
0.500 0.500 0.500
```

Space group: Im-3
Offset from the most stable computed form in kJ/mol of atoms: 0.00
E in eV per atom: -5.80
ΔE_f in kcal/mol of atoms: -7.0
D(E_F) in states/eV/f.u.: 1.96
Magnetization in μB/f.u.: 0.00



(5)
A relaxed Al2AuCl crystal, computed with PBE-GGA.

```
Al2AuCl
1.0
0.000 3.405 3.405
3.405 0.000 3.405
3.405 3.405 0.000
Cl Al Au
1 2 1
direct
0.000 0.000 0.000
0.750 0.750 0.750
0.250 0.250 0.250
0.500 0.500 0.500
```

Space group: Fm-3m
Formation energy from raw total energies in eV per atom: -0.029
Offset from the most stable computed form in kJ/mol of atoms: 45.30
E in eV per atom: -3.18
D(E_F) in states/eV/f.u.: 1.05
Magnetization in μB/f.u.: 0.00



(6)
A relaxed PaAlFe2Si4 crystal, computed with PBE-GGA.

```
PaAlFe2Si4
1.0
3.420 0.000 0.000
0.000 3.420 0.000
0.000 0.000 10.549
Si Fe Pa Al
4 2 1 1
direct
0.000 0.500 0.765
0.500 0.000 0.235
0.000 0.500 0.235
0.500 0.000 0.765
0.500 0.500 0.614
0.500 0.500 0.386
0.000 0.000 0.000
0.000 0.000 0.500
```

Space group: P4/mmm
Formation energy from raw total energies in eV per atom: -0.158
E in eV per atom: -6.64
D(E_F) in states/eV/f.u.: 6.52
Magnetization in μB/f.u.: 0.33



(7)
A relaxed Sn2GeP crystal, computed with PBE-GGA.

```
Sn2GeP
1.0
0.000 3.534 3.534
3.534 0.000 3.534
3.534 3.534 0.000
Ge Sn P
1 2 1
direct
0.500 0.500 0.500
0.750 0.750 0.750
0.250 0.250 0.250
0.000 0.000 0.000
```

Space group: Fm-3m
Offset from the most stable computed form in kJ/mol of atoms: 17.43
E in eV per atom: -4.19
ΔE_f in kcal/mol of atoms: 7.3
D(E_F) in states/eV/f.u.: 2.23
Magnetization in μB/f.u.: 0.00



(8)
A relaxed Cs4SrCa3Br12 crystal, computed with PBE-GGA.

```
Cs4SrCa3Br12
1.0
10.103 0.000 0.000
-3.368 9.525 0.000
-3.368 -4.763 8.249
Br Cs Sr Ca
12 4 1 3
direct
0.256 0.000 0.256
0.000 0.744 0.744
0.250 0.500 0.750
0.250 0.750 0.500
0.750 0.250 0.500
0.744 0.000 0.744
0.500 0.750 0.250
0.500 0.250 0.750
0.750 0.500 0.250
0.744 0.744 0.000
0.256 0.256 0.000
0.000 0.256 0.256
0.000 0.000 0.500
0.500 0.000 0.000
0.500 0.500 0.500
0.000 0.500 0.000
0.000 0.000 0.000
0.500 0.500 0.000
0.000 0.500 0.500
0.500 0.000 0.500
```

Space group: Im-3m
Formation energy from raw total energies in eV per atom: -1.978
E in eV per atom: -3.54
D(E_F) in states/eV/f.u.: 0.00
Magnetization in μB/f.u.: 0.00



(9)
A relaxed KFeSi2 crystal, computed with PBE-GGA.

```
KFeSi2
1.0
4.129 0.000 0.000
0.000 4.078 0.000
0.000 0.000 4.430
Si K Fe
2 1 1
direct
0.500 0.500 0.000
0.000 0.000 0.000
0.000 0.500 0.500
0.500 0.000 0.500
```

Space group: Pmmm
Formation energy from raw total energies in eV per atom: 0.990
Offset from the most stable computed form in kJ/mol of atoms: 91.15
E in eV per atom: -4.11
D(E_F) in states/eV/f.u.: 5.27
Magnetization in μB/f.u.: 2.74



(10)
A relaxed TbEr2CrN4 crystal, computed with PBE-GGA.

```
TbEr2CrN4
1.0
-1.123 1.939 2.490
2.063 -4.930 2.516
10.419 4.836 0.932
Tb Er N Cr
2 4 8 2
direct
0.893 0.786 0.250
0.107 0.214 0.750
0.631 0.262 0.043
0.631 0.262 0.457
0.369 0.738 0.957
0.369 0.738 0.543
0.567 0.133 0.250
0.266 0.533 0.129
0.266 0.533 0.371
0.433 0.867 0.750
0.000 0.000 0.500
0.734 0.467 0.629
0.000 0.000 0.000
0.734 0.467 0.871
0.841 0.683 0.750
0.159 0.317 0.250
```

Space group: Cmcm
Formation energy from raw total energies in eV per atom: -1.276
E in eV per atom: -8.36
D(E_F) in states/eV/f.u.: 3.47
Magnetization in μB/f.u.: 1.96



(11)
A relaxed YSi2Br crystal, computed with PBE-GGA.

```
YSi2Br
1.0
-2.582 -1.793 -1.762
2.510 -1.812 -1.835
0.743 -5.990 5.005
Y Si Br
1 2 1
direct
0.000 0.348 0.475
0.000 0.929 0.176
0.500 0.429 0.177
0.500 0.794 0.673
```

Space group: Pm
Formation energy from raw total energies in eV per atom: -0.500
Offset from the most stable computed form in kJ/mol of atoms: 21.14
E in eV per atom: -5.25
D(E_F) in states/eV/f.u.: 2.85
Magnetization in μB/f.u.: 0.00



(12)
A relaxed Pm6Mg2N crystal, computed with PBE-GGA.

```
Pm6Mg2N
1.0
7.175 0.000 -0.188
0.000 7.178 0.000
0.268 0.000 10.125
Pm N Mg
12 2 4
direct
0.001 0.000 0.743
0.501 0.500 0.243
0.758 0.242 0.501
0.758 0.758 0.501
0.242 0.242 0.499
0.742 0.258 0.999
0.999 0.000 0.257
0.258 0.742 0.001
0.742 0.742 0.999
0.242 0.758 0.499
0.258 0.258 0.001
0.499 0.500 0.757
0.500 0.500 0.000
0.000 0.000 0.500
0.000 0.500 0.250
0.500 0.000 0.250
0.000 0.500 0.750
0.500 0.000 0.750
```

Space group: C2/m
Formation energy from raw total energies in eV per atom: -0.306
E in eV per atom: -4.75
D(E_F) in states/eV/f.u.: 14.14
Magnetization in μB/f.u.: 0.20



(13)
A relaxed Mg2Tl5Cd crystal, computed with PBE-GGA.

```
Mg2Tl5Cd
1.0
-1.380 4.564 -1.823
0.987 -4.341 -4.468
-14.549 -4.094 0.764
Mg Cd Tl
4 2 10
direct
0.787 0.574 0.355
0.213 0.426 0.855
0.213 0.426 0.645
0.787 0.574 0.145
0.733 0.467 0.750
0.267 0.533 0.250
0.940 0.880 0.895
0.359 0.718 0.466
0.060 0.120 0.105
0.359 0.718 0.034
0.641 0.282 0.966
0.641 0.282 0.534
0.536 0.072 0.250
0.940 0.880 0.605
0.060 0.120 0.395
0.464 0.928 0.750
```

Space group: Cmcm
E in eV per atom: -1.97
ΔE_f in kcal/mol of atoms: 0.5
D(E_F) in states/eV/f.u.: 3.87
Magnetization in μB/f.u.: 0.00



(14)
A relaxed SrCa2PbSe crystal, computed with PBE-GGA.

```
SrCa2PbSe
1.0
5.529 0.000 0.000
0.000 5.529 0.000
0.000 0.000 5.814
Ca Se Pb Sr
2 1 1 1
direct
0.500 0.000 0.000
0.000 0.500 0.000
0.000 0.000 0.000
0.500 0.500 0.500
0.000 0.000 0.500
```

Space group: P4/mmm
Formation energy from raw total energies in eV per atom: -0.923
E in eV per atom: -3.50
D(E_F) in states/eV/f.u.: 0.32
Magnetization in μB/f.u.: 0.00



(15)
A relaxed ZnSnGe crystal, computed with PBE-GGA.

```
ZnSnGe
1.0
-1.030 -2.627 2.679
3.788 0.346 1.879
-1.398 1.645 3.875
Zn Ge Sn
1 1 1
direct
0.892 0.561 0.383
0.572 0.344 0.029
0.228 0.940 0.721
```

Space group: P1
Offset from the most stable computed form in kJ/mol of atoms: 1.32
E in eV per atom: -3.14
ΔE_f in kcal/mol of atoms: 3.6
D(E_F) in states/eV/f.u.: 0.88
Magnetization in μB/f.u.: 0.00



(16)
A relaxed LaNd3YTm crystal, computed with PBE-GGA.

```
LaNd3YTm
1.0
-3.517 3.381 1.733
-3.108 0.597 -7.471
-4.289 -7.733 6.384
Tm Nd Y La
2 6 2 2
direct
0.750 0.874 0.375
0.250 0.126 0.625
0.750 0.377 0.209
0.750 0.371 0.543
0.250 0.127 0.958
0.750 0.873 0.042
0.250 0.629 0.457
0.250 0.623 0.791
0.250 0.624 0.125
0.750 0.376 0.875
0.250 0.123 0.293
0.750 0.877 0.707
```

Space group: P2_1/m
E in eV per atom: -5.00
ΔE_f in kcal/mol of atoms: 0.6
D(E_F) in states/eV/f.u.: 10.08
Magnetization in μB/f.u.: 0.00



(17)
A relaxed KTl2Cd crystal, computed with PBE-GGA.

```
KTl2Cd
1.0
-1.414 4.395 4.055
-3.632 4.848 1.030
-4.977 -1.862 3.371
Cd Tl K
1 2 1
direct
0.250 0.250 0.250
0.524 0.524 0.460
0.976 0.976 0.040
0.750 0.750 0.750
```

Space group: C2/m
E in eV per atom: -1.73
ΔE_f in kcal/mol of atoms: -1.0
D(E_F) in states/eV/f.u.: 1.65
Magnetization in μB/f.u.: 0.00



(18)
A relaxed SrHg2Sb2 crystal, computed with PBE-GGA.

```
SrHg2Sb2
1.0
8.376 0.000 0.000
0.000 8.376 0.000
0.000 0.000 4.288
Hg Sr Sb
4 2 4
direct
0.667 0.833 0.500
0.167 0.667 0.500
0.333 0.167 0.500
0.833 0.333 0.500
0.500 0.500 0.000
0.000 0.000 0.000
0.374 0.874 0.000
0.126 0.374 0.000
0.626 0.126 0.000
0.874 0.626 0.000
```

Space group: P4/mbm
Formation energy from raw total energies in eV per atom: -0.203
E in eV per atom: -2.31
D(E_F) in states/eV/f.u.: 2.56
Magnetization in μB/f.u.: 0.00



(19)
A relaxed ZnW3 crystal, computed with PBE-GGA.

```
ZnW3
1.0
3.289 0.000 0.000
0.000 3.289 0.000
0.000 0.000 5.784
W Zn
3 1
direct
0.500 0.500 0.250
0.000 0.000 0.991
0.000 0.000 0.509
0.500 0.500 0.750
```

Space group: P4/mmm
Offset from the most stable computed form in kJ/mol of atoms: 15.07
E in eV per atom: -9.73
ΔE_f in kcal/mol of atoms: 7.1
D(E_F) in states/eV/f.u.: 4.18
Magnetization in μB/f.u.: 0.00



(20)
A relaxed Tb12Tm2Mg crystal, computed with PBE-GGA.

```
Tb12Tm2Mg
1.0
-2.139 4.873 -3.984
-0.801 -1.637 -6.393
-21.905 -9.623 3.204
Tb Tm Mg
24 4 2
direct
0.644 0.356 0.069
0.964 0.036 0.197
0.035 0.965 0.326
0.846 0.154 0.443
0.154 0.846 0.557
0.535 0.465 0.326
0.808 0.692 0.869
0.665 0.835 0.578
0.464 0.536 0.197
0.335 0.165 0.422
0.965 0.035 0.674
0.192 0.308 0.131
0.692 0.808 0.131
0.346 0.654 0.443
0.144 0.856 0.069
0.654 0.346 0.557
0.308 0.192 0.869
0.036 0.964 0.803
0.356 0.644 0.931
0.165 0.335 0.578
0.536 0.464 0.803
0.465 0.535 0.674
0.856 0.144 0.931
0.835 0.665 0.422
0.495 0.005 0.732
0.005 0.495 0.268
0.995 0.505 0.732
0.505 0.995 0.268
0.000 0.500 0.000
0.500 0.000 0.000
```

Space group: P2/m
E in eV per atom: -4.29
ΔE_f in kcal/mol of atoms: 2.7
D(E_F) in states/eV/f.u.: 22.99
Magnetization in μB/f.u.: 0.00